{
  "formula": "SrB7",
  "functional": "PBE-GGA",
  "state": "relaxed",
  "space_group": "C2/m (12)",
  "delta_e_f_mev_per_atom": 848,
  "rho_g_cm3": 3.488,
  "magmom_total_mub_per_atom": 0.00,
  "cell": [[8.7536, 0.0000, 0.0000], [0.0000, 6.3601, 0.0000], [-0.9926, 0.0000, 2.7928]],
  "species": ["Sr", "Sr", "B", "B", "B", "B", "B", "B", "B", "B", "B", "B", "B", "B", "B", "B"],
  "fractional_positions": [[0.0000, 0.0000, 0.0000], [0.5000, 0.5000, 0.0000], [0.0000, 0.5000, 0.0000], [0.1106, 0.3576, 0.6089], [0.1106, 0.6424, 0.6089], [0.2021, 0.5000, 0.2005], [0.2979, 0.0000, 0.7995], [0.3894, 0.1424, 0.3911], [0.3894, 0.8576, 0.3911], [0.5000, 0.0000, 0.0000], [0.6106, 0.1424, 0.6089], [0.6106, 0.8576, 0.6089], [0.7021, 0.0000, 0.2005], [0.7979, 0.5000, 0.7995], [0.8894, 0.3576, 0.3911], [0.8894, 0.6424, 0.3911]]
}